[1]
{"formula": "Na2NpIrS4", "functional": "PBE", "state": "relaxed", "sg": "P2/m (10)", "final_energy_ev_per_atom": -6.07, "m_tot_mub_per_cell": 3.68, "lattice": [[6.1106, 0.0000, 0.0000], [0.0000, 3.8510, 0.0000], [-2.3015, 0.0000, 6.8322]], "species": ["Na", "Na", "Np", "Ir", "S", "S", "S", "S"], "frac_coords": [[0.0000, 0.0000, 0.0000], [0.5000, 0.5000, 0.0000], [0.0000, 0.5000, 0.5000], [0.5000, 0.0000, 0.5000], [0.2635, 0.0000, 0.7257], [0.2963, 0.5000, 0.2971], [0.7037, 0.5000, 0.7029], [0.7365, 0.0000, 0.2743]]}



[2]
{"formula": "Tl2TeAs", "functional": "PBE", "state": "relaxed", "sg": "Pmmm (47)", "m_tot_mub_per_cell": 0.00, "polymorph_energy_mev_per_atom": 74, "lattice": [[4.4051, 0.0000, 0.0000], [0.0000, 4.6318, 0.0000], [0.0000, 0.0000, 5.6267]], "species": ["Tl", "Tl", "Te", "As"], "frac_coords": [[0.0000, 0.0000, 0.0000], [0.5000, 0.5000, 0.0000], [0.0000, 0.5000, 0.5000], [0.5000, 0.0000, 0.5000]]}



[3]
{"formula": "Ba2Sr2Li15", "functional": "PBE", "state": "relaxed", "formation_energy_mev_per_atom": 51, "sg": "R-3m (166)", "m_tot_mub_per_cell": 0.00, "lattice": [[5.4657, 3.1556, 5.3476], [-5.4657, 3.1556, 5.3476], [0.0000, -6.3113, 5.3476]], "species": ["Ba", "Ba", "Sr", "Sr", "Li", "Li", "Li", "Li", "Li", "Li", "Li", "Li", "Li", "Li", "Li", "Li", "Li", "Li", "Li"], "frac_coords": [[0.1427, 0.1427, 0.1427], [0.8573, 0.8573, 0.8573], [0.3882, 0.3882, 0.3882], [0.6118, 0.6118, 0.6118], [0.0000, 0.5000, 0.5000], [0.1500, 0.1500, 0.6601], [0.1500, 0.6601, 0.1500], [0.1960, 0.5000, 0.8040], [0.1960, 0.8040, 0.5000], [0.3399, 0.8500, 0.8500], [0.5000, 0.0000, 0.5000], [0.5000, 0.1960, 0.8040], [0.5000, 0.5000, 0.0000], [0.5000, 0.8040, 0.1960], [0.6601, 0.1500, 0.1500], [0.8040, 0.1960, 0.5000], [0.8040, 0.5000, 0.1960], [0.8500, 0.3399, 0.8500], [0.8500, 0.8500, 0.3399]]}



[4]
{"formula": "ThMnCo2", "functional": "PBE", "state": "relaxed", "formation_energy_mev_per_atom": -128, "sg": "R-3m (166)", "m_tot_mub_per_cell": 2.82, "lattice": [[2.0459, 1.1812, 4.6214], [-2.0459, 1.1812, 4.6214], [0.0000, -2.3624, 4.6214]], "species": ["Th", "Mn", "Co", "Co"], "frac_coords": [[0.0000, 0.0000, 0.0000], [0.5000, 0.5000, 0.5000], [0.1993, 0.1993, 0.1993], [0.8007, 0.8007, 0.8007]]}



[5]
{"formula": "Ba2CoPbN", "functional": "PBE", "state": "relaxed", "sg": "P4/mmm (123)", "final_energy_ev_per_atom": -4.93, "m_tot_mub_per_cell": 0.26, "lattice": [[6.1339, 0.0000, 0.0000], [0.0000, 6.1339, 0.0000], [0.0000, 0.0000, 3.5652]], "species": ["Ba", "Ba", "Co", "Pb", "N"], "frac_coords": [[0.0000, 0.5000, 0.0000], [0.5000, 0.0000, 0.0000], [0.0000, 0.0000, 0.5000], [0.5000, 0.5000, 0.5000], [0.0000, 0.0000, 0.0000]]}



[6]
{"formula": "BaY3Zn", "functional": "PBE", "state": "relaxed", "formation_energy_mev_per_atom": 1198, "sg": "Pm-3m (221)", "m_tot_mub_per_cell": 0.00, "polymorph_energy_mev_per_atom": 1086, "lattice": [[5.7380, 0.0000, 0.0000], [0.0000, 5.7380, 0.0000], [0.0000, 0.0000, 5.7380]], "species": ["Ba", "Y", "Y", "Y", "Zn"], "frac_coords": [[0.0000, 0.0000, 0.0000], [0.0000, 0.0000, 0.5000], [0.0000, 0.5000, 0.0000], [0.5000, 0.0000, 0.0000], [0.5000, 0.5000, 0.5000]]}



[7]
{"formula": "Hf5ZrBi5", "functional": "PBE", "state": "relaxed", "formation_energy_mev_per_atom": 21, "sg": "C2/m (12)", "m_tot_mub_per_cell": 0.00, "lattice": [[6.7466, -2.8680, 0.0000], [6.7466, 2.8680, 0.0000], [-2.5988, 0.0000, 7.6923]], "species": ["Hf", "Hf", "Hf", "Hf", "Hf", "Zr", "Bi", "Bi", "Bi", "Bi", "Bi"], "frac_coords": [[0.0000, 0.0000, 0.0000], [0.3527, 0.3527, 0.6972], [0.4163, 0.4163, 0.0874], [0.5837, 0.5837, 0.9126], [0.6473, 0.6473, 0.3028], [0.0000, 0.0000, 0.5000], [0.1735, 0.1735, 0.8503], [0.1819, 0.1819, 0.3388], [0.5000, 0.5000, 0.5000], [0.8182, 0.8182, 0.6612], [0.8265, 0.8265, 0.1497]]}



[8]
{"formula": "LiPm3", "functional": "PBE", "state": "relaxed", "formation_energy_mev_per_atom": 244, "sg": "Pmm2 (25)", "m_tot_mub_per_cell": 0.00, "polymorph_energy_mev_per_atom": 168, "lattice": [[3.3928, 0.0000, 0.0000], [0.0000, 3.4544, 0.0000], [0.0000, 0.0000, 11.0823]], "species": ["Li", "Pm", "Pm", "Pm"], "frac_coords": [[0.0000, 0.0000, 0.0000], [0.0000, 0.5000, 0.2577], [0.5000, 0.0000, 0.4952], [0.5000, 0.5000, 0.7747]]}



[9]
{"formula": "AcTmAl2Ge", "functional": "PBE", "state": "relaxed", "formation_energy_mev_per_atom": -504, "sg": "Imm2 (44)", "m_tot_mub_per_cell": 0.00, "lattice": [[-2.2207, 2.2890, 6.1714], [2.2207, -2.2890, 6.1714], [2.2207, 2.2890, -6.1714]], "species": ["Ac", "Tm", "Al", "Al", "Ge"], "frac_coords": [[0.0000, 0.0000, 0.0000], [0.2558, 0.7558, 0.5000], [0.6095, 0.6095, 0.0000], [0.7415, 0.2415, 0.5000], [0.3983, 0.3983, 0.0000]]}



[10]
{"formula": "LiYAs2Br", "functional": "PBE", "state": "relaxed", "sg": "P4/mmm (123)", "m_tot_mub_per_cell": 0.00, "polymorph_energy_mev_per_atom": 0, "lattice": [[4.5446, 0.0000, 0.0000], [0.0000, 4.5446, 0.0000], [0.0000, 0.0000, 5.2466]], "species": ["Li", "Y", "As", "As", "Br"], "frac_coords": [[0.0000, 0.0000, 0.0000], [0.5000, 0.5000, 0.5000], [0.0000, 0.5000, 0.0000], [0.5000, 0.0000, 0.0000], [0.0000, 0.0000, 0.5000]]}



[11]
{"formula": "SrBiAu", "functional": "PBE", "state": "relaxed", "formation_energy_mev_per_atom": -693, "sg": "R3m (160)", "m_tot_mub_per_cell": 0.00, "lattice": [[2.4475, 1.4130, 9.2716], [-2.4475, 1.4130, 9.2716], [0.0000, -2.8261, 9.2716]], "species": ["Sr", "Sr", "Bi", "Bi", "Au", "Au"], "frac_coords": [[0.0000, 0.0000, 0.0000], [0.1599, 0.1599, 0.1599], [0.4124, 0.4124, 0.4124], [0.5773, 0.5773, 0.5773], [0.7346, 0.7346, 0.7346], [0.8889, 0.8889, 0.8889]]}



[12]
{"formula": "TaH2PtRh", "functional": "PBE", "state": "relaxed", "sg": "P4/mmm (123)", "final_energy_ev_per_atom": -5.90, "m_tot_mub_per_cell": 0.00, "lattice": [[3.6663, 0.0000, 0.0000], [0.0000, 3.6663, 0.0000], [0.0000, 0.0000, 5.0325]], "species": ["Ta", "H", "H", "Pt", "Rh"], "frac_coords": [[0.0000, 0.0000, 0.0000], [0.0000, 0.5000, 0.0000], [0.5000, 0.0000, 0.0000], [0.0000, 0.0000, 0.5000], [0.5000, 0.5000, 0.5000]]}